CoOsIO2 | PBE+U | optimized geometry

```
data_CoOsIO2
_space_group_name_H-M_alt 'P 4/m m m'
_space_group_IT_number 123
_space_group_name_Hall '-P 4 2'
_cell_length_a 3.727
_cell_length_b 3.727
_cell_length_c 6.853
_cell_angle_alpha 90.00
_cell_angle_beta 90.00
_cell_angle_gamma 90.00
loop_
_atom_site_label
_atom_site_type_symbol
_atom_site_fract_x
_atom_site_fract_y
_atom_site_fract_z
Co1 Co 0.000 0.000 0.000
Os1 Os 0.500 0.500 0.500
I1 I 0.000 0.000 0.500
O1 O 0.000 0.500 0.000
```

Output
calculated volume: 95.2 Å³/cell
ΔE to the lowest computed polymorph: 83.7 kJ per mole of atoms
total magnetization: 5.63 μB/f.u.
total DFT energy (no corrections): -4.8257 eV per atom